Ba2LuB2ClO6, PBEsol geometry, DFT SCAN; spin magnetization = 0.0 μB/f.u.; ΔE_f (raw) = -3221 meV/atom; space-group type = No. 11; crystal system = monoclinic
1.0
-4.8019 -1.0279 1.8302
-1.5930 -2.5125 -5.5907
3.7886 -9.4393 4.6390
O Ba Cl Lu B
12 4 2 2 4
direct
0.7500 0.0022 0.5906
0.5282 0.3279 0.5628
0.0239 0.7062 0.7313
0.2500 0.4762 0.8525
0.2500 0.9978 0.4094
0.4718 0.6721 0.4372
0.7500 0.5238 0.1475
0.4761 0.7062 0.7313
0.9761 0.2938 0.2687
0.9718 0.3279 0.5628
0.5239 0.2938 0.2687
0.0282 0.6721 0.4372
0.2500 0.0905 0.7031
0.7500 0.6563 0.9230
0.7500 0.9095 0.2969
0.2500 0.3437 0.0770
0.2500 0.8516 0.0871
0.7500 0.1484 0.9129
0.2500 0.3494 0.4156
0.7500 0.6506 0.5844
0.7500 0.3783 0.2304
0.7500 0.2095 0.5699
0.2500 0.6217 0.7696
0.2500 0.7905 0.4301

BaTa2As, PBEsol geometry, DFT SCAN; spin magnetization = 0.0 μB/f.u.; energy of formation = 194 meV/atom; space-group type = No. 8; crystal system = monoclinic
1.0
3.3046 0.0000 0.0000
-1.6523 4.3689 0.0327
0.0000 -1.2072 6.8230
As Ta Ba
1 2 1
direct
0.5107 0.0214 0.6022
0.2370 0.4740 0.7336
0.9756 0.9512 0.9001
0.7767 0.5534 0.2641

Y2ScAl, PBEsol geometry, DFT SCAN; spin magnetization = 0.5 μB/f.u.; energy of formation = -199 meV/atom; space-group type = No. 99; crystal system = tetragonal
1.0
-2.9171 -0.3760 1.6959
0.4887 -3.3584 0.0959
4.2468 0.8318 7.4895
Al Y Sc
1 2 1
direct
0.0000 0.0000 0.5161
0.0000 0.0000 0.9845
0.5000 0.5000 0.2881
0.5000 0.5000 0.7113

YAl3, PBEsol geometry, DFT SCAN; spin magnetization = 0.0 μB/f.u.; energy of formation = 30 meV/atom; space-group type = No. 166; crystal system = trigonal
1.0
-2.9505 0.8288 -0.6001
-1.5912 -1.4289 -2.2758
-4.5996 -6.6783 5.2662
Y Al
1 3
direct
0.0000 0.0000 0.0000
0.7577 0.7577 0.7268
0.5000 0.5000 0.5000
0.2423 0.2423 0.2732

LiCaAl2, PBEsol geometry, DFT SCAN; spin magnetization = 0.0 μB/f.u.; energy of formation = -38 meV/atom; ΔE to the lowest computed polymorph = 12.4 kJ per mole of atoms; space-group type = No. 8; crystal system = monoclinic
1.0
3.2089 0.0000 0.0000
-1.6045 4.5868 -0.0011
0.0000 -0.8647 5.6953
Ca Li Al
1 1 2
direct
0.5072 0.0144 0.4996
0.7352 0.4704 0.2006
0.9958 0.9916 0.9978
0.2618 0.5236 0.8020

YAlBiIr2, PBEsol geometry, DFT SCAN; spin magnetization = 0.0 μB/f.u.; energy of formation = 1540 meV/atom; space-group type = No. 123; crystal system = tetragonal
1.0
4.9489 0.0000 0.0000
0.0000 4.9489 0.0000
0.0000 0.0000 5.1038
Y Ir Al Bi
1 2 1 1
direct
0.0000 0.0000 0.0000
0.0000 0.5000 0.0000
0.5000 0.0000 0.0000
0.0000 0.0000 0.5000
0.5000 0.5000 0.5000

Ta3MnAl, PBEsol geometry, DFT SCAN; spin magnetization = 0.0 μB/f.u.; energy of formation = 694 meV/atom; space-group type = No. 221; crystal system = cubic
1.0
-2.9749 1.0895 3.2372
-1.4425 -4.2920 0.1190
3.0961 -0.9528 3.1659
Ta Al Mn
3 1 1
direct
0.5000 0.0000 0.0000
0.0000 0.0000 0.5000
0.0000 0.5000 0.0000
0.5000 0.5000 0.5000
0.0000 0.0000 0.0000

BaHg2Ru, PBEsol geometry, DFT SCAN; spin magnetization = 0.0 μB/f.u.; energy of formation = 194 meV/atom; space-group type = No. 99; crystal system = tetragonal
1.0
-0.9996 2.3501 2.6075
-2.8081 -2.1621 0.8721
4.2746 -3.5867 4.8715
Hg Ru Ba
2 1 1
direct
0.5000 0.5000 0.2985
0.0000 0.0000 0.0519
0.0000 0.0000 0.4213
0.5000 0.5000 0.7284

MnNiIr2, PBEsol geometry, DFT SCAN; spin magnetization = 2.6 μB/f.u.; energy of formation = -237 meV/atom; space-group type = No. 12; crystal system = monoclinic
1.0
2.6598 0.0000 0.0000
-1.3299 4.2337 -0.0170
0.0000 -0.8291 4.5193
Ir Ni Mn
2 1 1
direct
0.7522 0.5044 0.7491
0.2478 0.4956 0.2509
0.0000 0.0000 0.5000
0.5000 0.0000 0.0000

Mn2AgW, PBEsol geometry, DFT SCAN; spin magnetization = 0.5 μB/f.u.; energy of formation = 372 meV/atom; space-group type = No. 160; crystal system = trigonal
1.0
2.6627 0.0000 0.0000
1.3314 2.3060 0.0000
1.3314 0.7687 8.7915
Mn W Ag
2 1 1
direct
0.7426 0.7426 0.7721
0.0097 0.0097 0.9709
0.4928 0.4928 0.5216
0.2549 0.2549 0.2353

TlF, PBEsol geometry, DFT SCAN; spin magnetization = 0.0 μB/f.u.; ΔE_f (raw) = -1808 meV/atom; ΔE to the lowest computed polymorph = 0.2 kJ per mole of atoms; space-group type = No. 129; crystal system = tetragonal
1.0
3.6669 0.0000 0.0000
0.0000 3.6669 0.0000
0.0000 0.0000 6.0803
Tl F
2 2
direct
0.0000 0.5000 0.7601
0.5000 0.0000 0.2399
0.0000 0.5000 0.3589
0.5000 0.0000 0.6411

BaYZn2, PBEsol geometry, DFT SCAN; spin magnetization = 0.0 μB/f.u.; energy of formation = -5 meV/atom; ΔE to the lowest computed polymorph = 28.0 kJ per mole of atoms; space-group type = No. 166; crystal system = trigonal
1.0
-2.6490 2.7355 0.4536
-3.6277 -0.9567 0.7940
-0.2541 0.9158 9.2029
Y Zn Ba
1 2 1
direct
0.0000 0.0000 0.0000
0.2605 0.2605 0.2184
0.7395 0.7395 0.7816
0.5000 0.5000 0.5000

La2ZnPb, PBEsol geometry, DFT SCAN; spin magnetization = 0.0 μB/f.u.; energy of formation = -609 meV/atom; space-group type = No. 123; crystal system = tetragonal
1.0
-3.3415 2.4652 -0.7016
0.0034 -1.4088 -4.9662
-3.1418 -3.9411 1.1158
La Zn Pb
2 1 1
direct
0.0000 0.0000 0.5000
0.0000 0.5000 0.0000
0.5000 0.0000 0.0000
0.5000 0.5000 0.5000

K2Ga2Pt, PBEsol geometry, DFT SCAN; spin magnetization = 0.0 μB/f.u.; energy of formation = 516 meV/atom; space-group type = No. 139; crystal system = tetragonal
1.0
-1.2927 -1.9143 3.1068
3.2880 -2.0408 0.1106
2.0434 7.1173 2.8237
K Pt Ga
2 1 2
direct
0.2500 0.7500 0.5000
0.7500 0.2500 0.5000
0.0000 0.0000 0.0000
0.4196 0.4196 0.8391
0.5804 0.5804 0.1609

Cd2InPb, PBEsol geometry, DFT SCAN; spin magnetization = 0.0 μB/f.u.; energy of formation = 81 meV/atom; ΔE to the lowest computed polymorph = 1.7 kJ per mole of atoms; space-group type = No. 119; crystal system = tetragonal
1.0
-0.6080 -1.9814 -4.0356
1.6950 -3.8729 1.6461
-4.9168 1.5752 2.5174
Cd In Pb
2 1 1
direct
0.0000 0.0000 0.0000
0.7500 0.2500 0.5000
0.5000 0.5000 0.0000
0.2500 0.7500 0.5000

La3TcSn, PBEsol geometry, DFT SCAN; spin magnetization = 0.0 μB/f.u.; energy of formation = -390 meV/atom; space-group type = No. 221; crystal system = cubic
1.0
-0.0515 4.0217 -3.5002
-4.1886 2.1352 2.5150
3.2987 2.7740 3.1388
La Tc Sn
3 1 1
direct
0.5000 0.0000 0.0000
0.0000 0.5000 0.0000
0.0000 0.0000 0.5000
0.0000 0.0000 0.0000
0.5000 0.5000 0.5000

KReSi2, PBEsol geometry, DFT SCAN; spin magnetization = 0.0 μB/f.u.; ΔE_f (raw) = 287 meV/atom; ΔE to the lowest computed polymorph = 21.9 kJ per mole of atoms; space-group type = No. 44; crystal system = orthorhombic
1.0
2.8225 0.0000 0.0000
0.0000 3.9347 0.0000
-1.4112 -1.9673 7.7426
K Re Si
1 1 2
direct
0.5624 0.5624 0.1248
0.2785 0.7785 0.5571
0.9083 0.9083 0.8166
0.7508 0.2508 0.5015

Li2AlSe, PBEsol geometry, DFT SCAN; spin magnetization = 0.0 μB/f.u.; ΔE_f (raw) = -441 meV/atom; ΔE to the lowest computed polymorph = 0.0 kJ per mole of atoms; space-group type = No. 12; crystal system = monoclinic
1.0
3.6395 0.0000 0.0000
-1.8198 3.7426 0.0058
0.0000 -1.3425 5.4126
Se Al Li
1 1 2
direct
0.5000 0.0000 0.0000
0.0000 0.0000 0.5000
0.2238 0.4476 0.1824
0.7762 0.5524 0.8176

Sr3CuIrO6, PBEsol geometry, DFT SCAN; spin magnetization = 2.0 μB/f.u.; ΔE_f (raw) = -2140 meV/atom; space-group type = No. 15; crystal system = monoclinic
1.0
6.6546 -0.0010 -0.0010
-0.0863 6.6990 0.0005
-0.0863 -0.2238 6.6953
O Cu Sr Ir
12 2 6 2
direct
0.7172 0.3956 0.0320
0.9270 0.5691 0.7201
0.9629 0.7840 0.1006
0.0730 0.4309 0.2799
0.2172 0.0320 0.3956
0.4270 0.7201 0.5691
0.5371 0.8994 0.2160
0.5730 0.2799 0.4309
0.4629 0.1006 0.7840
0.0371 0.2160 0.8994
0.7828 0.9680 0.6044
0.2828 0.6044 0.9680
0.2500 0.8074 0.1926
0.7500 0.1926 0.8074
0.2500 0.3975 0.6025
0.6206 0.7423 0.8906
0.7500 0.6025 0.3975
0.8794 0.1094 0.2577
0.3794 0.2577 0.1094
0.1206 0.8906 0.7423
0.5000 0.0000 0.5000
0.0000 0.5000 0.0000

TlCdIO2, PBEsol geometry, DFT SCAN; spin magnetization = 0.3 μB/f.u.; ΔE_f (raw) = 49 meV/atom; space-group type = No. 123; crystal system = tetragonal
1.0
4.2083 0.0000 0.0000
0.0000 4.2083 0.0000
0.0000 0.0000 6.3382
I Tl Cd O
1 1 1 2
direct
0.0000 0.0000 0.5000
0.0000 0.0000 0.0000
0.5000 0.5000 0.5000
0.5000 0.0000 0.0000
0.0000 0.5000 0.0000

LaBe2Tc, PBEsol geometry, DFT SCAN; spin magnetization = 0.0 μB/f.u.; energy of formation = 638 meV/atom; ΔE to the lowest computed polymorph = 20.5 kJ per mole of atoms; space-group type = No. 119; crystal system = tetragonal
1.0
-2.7258 2.8616 1.9189
0.9593 -3.8502 2.0753
2.5669 0.0546 3.5650
Be La Tc
2 1 1
direct
0.0000 0.0000 0.0000
0.2500 0.5000 0.2500
0.5000 0.0000 0.5000
0.7500 0.5000 0.7500

TlCoBi2Au, PBEsol geometry, DFT SCAN; spin magnetization = 0.0 μB/f.u.; energy of formation = 363 meV/atom; space-group type = No. 123; crystal system = tetragonal
1.0
4.9131 0.0000 0.0000
0.0000 4.9131 0.0000
0.0000 0.0000 5.0832
Tl Bi Co Au
1 2 1 1
direct
0.5000 0.5000 0.5000
0.0000 0.5000 0.0000
0.5000 0.0000 0.0000
0.0000 0.0000 0.0000
0.0000 0.0000 0.5000

ZrSbMoAu2, PBEsol geometry, DFT SCAN; spin magnetization = 1.5 μB/f.u.; ΔE_f (raw) = 766 meV/atom; space-group type = No. 123; crystal system = tetragonal
1.0
4.9039 0.0000 0.0000
0.0000 4.9039 0.0000
0.0000 0.0000 4.9856
Zr Sb Au Mo
1 1 2 1
direct
0.5000 0.5000 0.5000
0.0000 0.0000 0.5000
0.0000 0.5000 0.0000
0.5000 0.0000 0.0000
0.0000 0.0000 0.0000

SeIO2F, PBEsol geometry, DFT SCAN; spin magnetization = 3.6 μB/f.u.; ΔE_f (raw) = 993 meV/atom; space-group type = No. 123; crystal system = tetragonal
1.0
4.1495 0.0000 0.0000
0.0000 4.3178 0.0000
0.0000 0.0000 4.3178
F I Se O
1 1 1 2
direct
0.0000 0.0000 0.0000
0.5000 0.0000 0.0000
0.5000 0.5000 0.5000
0.0000 0.5000 0.0000
0.0000 0.0000 0.5000

SrIn2Fe, PBEsol geometry, DFT SCAN; spin magnetization = 2.5 μB/f.u.; energy of formation = 81 meV/atom; space-group type = No. 71; crystal system = orthorhombic
1.0
-1.6321 1.6980 2.6709
-4.5128 -2.8014 -0.9766
4.5680 -2.9528 2.2947
Sr Fe In
1 1 2
direct
0.5000 0.0000 0.0000
0.0000 0.5000 0.0000
0.7063 0.7063 0.4126
0.2937 0.2937 0.5874

Sc2PtPb, PBEsol geometry, DFT SCAN; spin magnetization = 0.0 μB/f.u.; energy of formation = -993 meV/atom; space-group type = No. 123; crystal system = tetragonal
1.0
-2.4113 0.2271 -2.2603
0.0649 -3.2880 -0.3996
-5.1172 -0.7553 5.3832
Sc Pt Pb
2 1 1
direct
0.0000 0.0000 0.7107
0.0000 0.0000 0.2893
0.5000 0.5000 0.5000
0.5000 0.5000 0.0000

Ni2HgRh, PBEsol geometry, DFT SCAN; spin magnetization = 1.9 μB/f.u.; energy of formation = 308 meV/atom; space-group type = No. 216; crystal system = cubic
1.0
4.2663 0.0000 0.0000
2.1332 3.6948 0.0000
2.1332 1.2316 3.4834
Ni Hg Rh
2 1 1
direct
0.0000 0.0000 0.0000
0.7500 0.7500 0.7500
0.5000 0.5000 0.5000
0.2500 0.2500 0.2500

ZrGeBiRu2, PBEsol geometry, DFT SCAN; spin magnetization = 1.8 μB/f.u.; energy of formation = 492 meV/atom; space-group type = No. 123; crystal system = tetragonal
1.0
4.5143 0.0000 0.0000
0.0000 4.5143 0.0000
0.0000 0.0000 4.9981
Bi Ge Ru Zr
1 1 2 1
direct
0.5000 0.5000 0.5000
0.0000 0.0000 0.0000
0.5000 0.0000 0.0000
0.0000 0.5000 0.0000
0.0000 0.0000 0.5000